# Mg16Al12Sn (SCAN, single point on PBEsol structure)
# symmetry	Cm (8)
# formation enthalpy at 0 K	-22	meV/atom
# volume	576.6	Å³/cell
# uncorrected energy	-7.21	eV/atom
# excess energy over the best structure of this formula in the dataset	0	meV per atom
data_Mg16Al12Sn
_chemical_formula_sum 'Mg16 Al12 Sn1'
_cell_length_a 9.000
_cell_length_b 9.000
_cell_length_c 9.012
_cell_angle_alpha 108.69
_cell_angle_beta 108.69
_cell_angle_gamma 108.86
_space_group_name_H-M_alt 'P 1'
_space_group_IT_number 1
_space_group_name_Hall 'P 1'
loop_
_atom_site_label
_atom_site_type_symbol
_atom_site_fract_x
_atom_site_fract_y
_atom_site_fract_z
Mg1 Mg 0.663 0.663 0.670
Mg2 Mg 0.000 0.000 0.002
Mg3 Mg 0.999 0.999 0.347
Mg4 Mg 0.687 0.687 0.290
Mg5 Mg 0.601 0.323 0.002
Mg6 Mg 0.712 0.401 0.400
Mg7 Mg 0.316 0.995 0.598
Mg8 Mg 0.348 0.995 0.993
Mg9 Mg 0.680 0.290 0.683
Mg10 Mg 0.002 0.598 0.320
Mg11 Mg 0.598 0.002 0.320
Mg12 Mg 0.290 0.680 0.683
Mg13 Mg 0.995 0.348 0.993
Mg14 Mg 0.995 0.316 0.598
Mg15 Mg 0.401 0.712 0.400
Mg16 Mg 0.323 0.601 0.002
Al1 Al 0.367 0.367 0.175
Al2 Al 0.178 0.178 0.819
Al3 Al 0.825 0.641 0.011
Al4 Al 0.001 0.814 0.632
Al5 Al 0.364 0.174 0.355
Al6 Al 0.188 0.819 0.187
Al7 Al 0.004 0.632 0.818
Al8 Al 0.632 0.004 0.818
Al9 Al 0.819 0.188 0.187
Al10 Al 0.174 0.364 0.355
Al11 Al 0.814 0.001 0.632
Al12 Al 0.641 0.825 0.011
Sn1 Sn 0.384 0.384 0.699